Record 1
Computed, not measured: a geometry-optimized TbGdAg2Te4 structure at the PBE-GGA level of DFT.

Cell: 7.135 7.135 4.746 Å, 90.00 90.00 90.03°
Positions (direct):
1 Tb 0.000 0.000 0.000
2 Gd 0.500 0.500 0.393
3 Ag 0.000 0.500 0.197
4 Ag 0.500 0.000 0.197
5 Te 0.201 0.799 0.483
6 Te 0.298 0.298 0.910
7 Te 0.702 0.702 0.910
8 Te 0.799 0.201 0.483

Values from the calculation:
As for the total energy: -4.363 eV per atom.

Record 2
Computed, not measured: a geometry-optimized GdThAg structure at the PBE-GGA level of DFT.

Cell: 5.072 5.072 5.072 Å, 60.00 60.00 60.00°
Positions (direct):
1 Gd 0.000 0.000 0.000
2 Th 0.500 0.500 0.500
3 Ag 0.250 0.250 0.250

Values from the calculation:
The calculation puts the formation energy at 0.238 eV/atom.

Record 3
Computed, not measured: a geometry-optimized GdTmAg structure at the PBE-GGA level of DFT.

Cell: 4.880 4.880 4.880 Å, 60.00 60.00 60.00°
Positions (direct):
1 Gd 0.000 0.000 0.000
2 Tm 0.750 0.750 0.750
3 Ag 0.500 0.500 0.500

Values from the calculation:
The calculation puts the formation energy at 0.521 eV/atom.

Record 4
Computed, not measured: a geometry-optimized GdTmAg2 structure at the PBE-GGA level of DFT.

Cell: 4.757 5.795 5.795 Å, 37.08 90.00 90.00°
Positions (direct):
1 Gd 0.000 0.000 0.000
2 Tm 0.500 0.288 0.288
3 Ag 0.000 0.726 0.726
4 Ag 0.500 0.565 0.565

Values from the calculation:
The calculation puts the formation energy at -0.293 eV/atom.

Record 5
Computed, not measured: a geometry-optimized GdTmAg2 structure at the PBE-GGA level of DFT.

Cell: 3.597 3.597 7.289 Å, 90.00 90.00 90.00°
Positions (direct):
1 Gd 0.000 0.000 0.000
2 Tm 0.000 0.000 0.500
3 Ag 0.500 0.500 0.263
4 Ag 0.500 0.500 0.737

Values from the calculation:
The calculation puts the formation energy at -0.333 eV/atom.

Record 6
Computed, not measured: a geometry-optimized GdTmAg6 structure at the PBE-GGA level of DFT.

Cell: 5.010 6.108 5.207 Å, 90.00 90.00 90.00°
Positions (direct):
1 Gd 0.000 0.000 0.000
2 Tm 0.500 0.500 0.308
3 Ag 0.000 0.260 0.494
4 Ag 0.000 0.500 0.980
5 Ag 0.000 0.740 0.494
6 Ag 0.500 0.000 0.338
7 Ag 0.500 0.251 0.813
8 Ag 0.500 0.749 0.813

Values from the calculation:
The calculation puts the formation energy at -0.264 eV/atom.

Record 7
Computed, not measured: a geometry-optimized GdYAg4 structure at the PBE-GGA level of DFT.

Cell: 3.730 3.730 9.283 Å, 90.00 90.00 90.00°
Positions (direct):
1 Gd 0.000 0.000 0.000
2 Y 0.500 0.500 0.500
3 Ag 0.000 0.000 0.330
4 Ag 0.000 0.000 0.670
5 Ag 0.500 0.500 0.170
6 Ag 0.500 0.500 0.830

Values from the calculation:
The calculation puts the formation energy at -0.323 eV/atom.

Record 8
Computed, not measured: a geometry-optimized GdYAg2 structure at the PBE-GGA level of DFT.

Cell: 4.774 5.833 5.833 Å, 37.32 90.00 90.00°
Positions (direct):
1 Gd 0.000 0.000 0.000
2 Y 0.500 0.715 0.715
3 Ag 0.000 0.278 0.278
4 Ag 0.500 0.437 0.437

Values from the calculation:
The calculation puts the formation energy at -0.297 eV/atom.

Record 9
Computed, not measured: a geometry-optimized GdYAg2 structure at the PBE-GGA level of DFT.

Cell: 5.165 5.165 3.627 Å, 90.00 90.00 90.00°
Positions (direct):
1 Gd 0.000 0.000 0.000
2 Y 0.500 0.500 0.000
3 Ag 0.000 0.500 0.500
4 Ag 0.500 0.000 0.500

Values from the calculation:
The calculation puts the formation energy at -0.329 eV/atom.

Record 10
Computed, not measured: a geometry-optimized GdZn2Ag2 structure at the PBE-GGA level of DFT.

Cell: 5.511 8.916 4.290 Å, 90.00 90.00 90.00°
Positions (direct):
1 Gd 0.000 0.000 0.000
2 Gd 0.500 0.500 0.000
3 Zn 0.248 0.248 0.500
4 Zn 0.252 0.748 0.500
5 Zn 0.748 0.252 0.500
6 Zn 0.752 0.752 0.500
7 Ag 0.000 0.342 0.000
8 Ag 0.000 0.658 0.000
9 Ag 0.500 0.158 0.000
10 Ag 0.500 0.842 0.000

Values from the calculation:
The calculation puts the formation energy at -0.132 eV/atom.

Record 11
Computed, not measured: a geometry-optimized AgGe structure at the PBE-GGA level of DFT.

Cell: 4.254 4.254 5.255 Å, 90.00 90.00 120.00°
Positions (direct):
1 Ag 0.333 0.667 0.250
2 Ag 0.667 0.333 0.750
3 Ge 0.000 0.000 0.000
4 Ge 0.000 0.000 0.500

Values from the calculation:
As for the total energy: -3.431 eV per atom.

Record 12
Computed, not measured: a geometry-optimized AgGe structure at the PBE-GGA level of DFT.

Cell: 3.887 3.887 3.887 Å, 60.00 60.00 60.00°
Positions (direct):
1 Ag 0.000 0.000 0.000
2 Ge 0.500 0.500 0.500

Values from the calculation:
As for the total energy: -3.362 eV per atom.

Record 13
Computed, not measured: a geometry-optimized Ag15Ge structure at the PBE-GGA level of DFT.

Cell: 5.837 4.137 37.499 Å, 90.00 90.54 90.00°
Positions (direct):
1 Ag 0.122 0.250 0.241
2 Ag 0.124 0.250 0.402
3 Ag 0.125 0.250 0.559
4 Ag 0.125 0.250 0.638
5 Ag 0.125 0.250 0.717
6 Ag 0.126 0.250 0.322
7 Ag 0.126 0.250 0.480
8 Ag 0.371 0.750 0.759
9 Ag 0.374 0.750 0.205
10 Ag 0.374 0.750 0.598
11 Ag 0.375 0.750 0.283
12 Ag 0.375 0.750 0.362
13 Ag 0.375 0.750 0.441
14 Ag 0.375 0.750 0.520
15 Ag 0.376 0.750 0.677
16 Ag 0.624 0.250 0.323
17 Ag 0.625 0.250 0.480
18 Ag 0.625 0.250 0.559
19 Ag 0.625 0.250 0.638
20 Ag 0.625 0.250 0.717
21 Ag 0.626 0.250 0.402
22 Ag 0.626 0.250 0.795
23 Ag 0.629 0.250 0.241
24 Ag 0.874 0.750 0.520
25 Ag 0.874 0.750 0.678
26 Ag 0.875 0.750 0.283
27 Ag 0.875 0.750 0.362
28 Ag 0.875 0.750 0.441
29 Ag 0.876 0.750 0.598
30 Ag 0.878 0.750 0.759
31 Ge 0.123 0.250 0.792
32 Ge 0.877 0.750 0.208

Values from the calculation:
As for the total energy: -2.855 eV per atom.

Record 14
Computed, not measured: a geometry-optimized Ag7Ge2 structure at the PBE-GGA level of DFT.

Cell: 2.930 2.930 34.957 Å, 90.00 90.00 120.00°
Positions (direct):
1 Ag 0.000 0.000 0.000
2 Ag 0.000 0.000 0.206
3 Ag 0.000 0.000 0.794
4 Ag 0.333 0.667 0.137
5 Ag 0.333 0.667 0.932
6 Ag 0.667 0.333 0.068
7 Ag 0.667 0.333 0.863
8 Ge 0.333 0.667 0.726
9 Ge 0.667 0.333 0.274

Values from the calculation:
As for the total energy: -3.119 eV per atom.

Record 15
Computed, not measured: a geometry-optimized AgGe2 structure at the PBE-GGA level of DFT.

Cell: 5.541 5.541 5.541 Å, 60.00 60.00 60.00°
Positions (direct):
1 Ag 0.125 0.125 0.125
2 Ag 0.875 0.875 0.875
3 Ge 0.000 0.500 0.500
4 Ge 0.500 0.000 0.500
5 Ge 0.500 0.500 0.000
6 Ge 0.500 0.500 0.500

Values from the calculation:
As for the total energy: -3.644 eV per atom.

Record 16
Computed, not measured: a geometry-optimized AgGe structure at the PBE-GGA level of DFT.

Cell: 2.981 2.981 4.823 Å, 90.00 90.00 120.00°
Positions (direct):
1 Ag 0.000 0.000 0.000
2 Ge 0.667 0.333 0.500

Values from the calculation:
As for the total energy: -3.521 eV per atom.

Record 17
Computed, not measured: a geometry-optimized AgGe2 structure at the PBE-GGA level of DFT.

Cell: 6.969 4.003 8.480 Å, 90.00 90.00 90.00°
Positions (direct):
1 Ag 0.230 0.250 0.147
2 Ag 0.270 0.750 0.647
3 Ag 0.730 0.250 0.353
4 Ag 0.770 0.750 0.853
5 Ge 0.055 0.250 0.849
6 Ge 0.125 0.250 0.451
7 Ge 0.375 0.750 0.951
8 Ge 0.445 0.750 0.349
9 Ge 0.555 0.250 0.651
10 Ge 0.625 0.250 0.049
11 Ge 0.875 0.750 0.549
12 Ge 0.945 0.750 0.151

Values from the calculation:
As for the total energy: -3.760 eV per atom.

Record 18
Computed, not measured: a geometry-optimized Ag15Ge structure at the PBE-GGA level of DFT.

Cell: 5.068 37.479 5.072 Å, 90.00 109.91 90.00°
Positions (direct):
1 Ag 0.000 0.020 0.250
2 Ag 0.000 0.059 0.750
3 Ag 0.000 0.098 0.250
4 Ag 0.000 0.138 0.750
5 Ag 0.000 0.178 0.250
6 Ag 0.000 0.217 0.750
7 Ag 0.000 0.259 0.250
8 Ag 0.000 0.295 0.750
9 Ag 0.000 0.705 0.250
10 Ag 0.000 0.741 0.750
11 Ag 0.000 0.783 0.250
12 Ag 0.000 0.822 0.750
13 Ag 0.000 0.862 0.250
14 Ag 0.000 0.902 0.750
15 Ag 0.000 0.941 0.250
16 Ag 0.000 0.980 0.750
17 Ag 0.500 0.020 0.750
18 Ag 0.500 0.059 0.250
19 Ag 0.500 0.098 0.750
20 Ag 0.500 0.138 0.250
21 Ag 0.500 0.178 0.750
22 Ag 0.500 0.217 0.250
23 Ag 0.500 0.259 0.750
24 Ag 0.500 0.741 0.250
25 Ag 0.500 0.783 0.750
26 Ag 0.500 0.822 0.250
27 Ag 0.500 0.862 0.750
28 Ag 0.500 0.902 0.250
29 Ag 0.500 0.941 0.750
30 Ag 0.500 0.980 0.250
31 Ge 0.500 0.291 0.250
32 Ge 0.500 0.709 0.750

Values from the calculation:
As for the total energy: -2.860 eV per atom.

Record 19
Computed, not measured: a geometry-optimized Ag15Ge structure at the PBE-GGA level of DFT.

Cell: 8.224 47.048 4.132 Å, 90.00 90.00 90.00°
Positions (direct):
1 Ag 0.122 0.209 0.000
2 Ag 0.122 0.791 0.500
3 Ag 0.125 0.298 0.000
4 Ag 0.125 0.343 0.500
5 Ag 0.125 0.388 0.000
6 Ag 0.125 0.433 0.500
7 Ag 0.125 0.478 0.000
8 Ag 0.125 0.522 0.500
9 Ag 0.125 0.567 0.000
10 Ag 0.125 0.612 0.500
11 Ag 0.125 0.657 0.000
12 Ag 0.125 0.702 0.500
13 Ag 0.128 0.254 0.500
14 Ag 0.128 0.746 0.000
15 Ag 0.369 0.165 0.000
16 Ag 0.369 0.835 0.500
17 Ag 0.372 0.208 0.500
18 Ag 0.372 0.792 0.000
19 Ag 0.374 0.343 0.000
20 Ag 0.374 0.657 0.500
21 Ag 0.375 0.388 0.500
22 Ag 0.375 0.433 0.000
23 Ag 0.375 0.478 0.500
24 Ag 0.375 0.522 0.000
25 Ag 0.375 0.567 0.500
26 Ag 0.375 0.612 0.000
27 Ag 0.376 0.253 0.000
28 Ag 0.376 0.299 0.500
29 Ag 0.376 0.701 0.000
30 Ag 0.376 0.747 0.500
31 Ag 0.624 0.253 0.500
32 Ag 0.624 0.299 0.000
33 Ag 0.624 0.701 0.500
34 Ag 0.624 0.747 0.000
35 Ag 0.625 0.388 0.000
36 Ag 0.625 0.433 0.500
37 Ag 0.625 0.478 0.000
38 Ag 0.625 0.522 0.500
39 Ag 0.625 0.567 0.000
40 Ag 0.625 0.612 0.500
41 Ag 0.626 0.343 0.500
42 Ag 0.626 0.657 0.000
43 Ag 0.628 0.208 0.000
44 Ag 0.628 0.792 0.500
45 Ag 0.631 0.165 0.500
46 Ag 0.631 0.835 0.000
47 Ag 0.872 0.254 0.000
48 Ag 0.872 0.746 0.500
49 Ag 0.875 0.298 0.500
50 Ag 0.875 0.343 0.000
51 Ag 0.875 0.388 0.500
52 Ag 0.875 0.433 0.000
53 Ag 0.875 0.478 0.500
54 Ag 0.875 0.522 0.000
55 Ag 0.875 0.567 0.500
56 Ag 0.875 0.612 0.000
57 Ag 0.875 0.657 0.500
58 Ag 0.875 0.702 0.000
59 Ag 0.878 0.209 0.500
60 Ag 0.878 0.791 0.000
61 Ge 0.103 0.163 0.500
62 Ge 0.103 0.837 0.000
63 Ge 0.897 0.163 0.000
64 Ge 0.897 0.837 0.500

Values from the calculation:
As for the total energy: -2.879 eV per atom.

Record 20
Computed, not measured: a geometry-optimized Ag15Ge structure at the PBE-GGA level of DFT.

Cell: 4.129 4.105 47.076 Å, 90.00 90.00 90.00°
Positions (direct):
1 Ag 0.250 0.000 0.022
2 Ag 0.250 0.000 0.112
3 Ag 0.250 0.000 0.202
4 Ag 0.250 0.000 0.292
5 Ag 0.250 0.000 0.664
6 Ag 0.250 0.000 0.754
7 Ag 0.250 0.000 0.843
8 Ag 0.250 0.000 0.933
9 Ag 0.250 0.500 0.067
10 Ag 0.250 0.500 0.157
11 Ag 0.250 0.500 0.247
12 Ag 0.250 0.500 0.708
13 Ag 0.250 0.500 0.798
14 Ag 0.250 0.500 0.888
15 Ag 0.250 0.500 0.978
16 Ag 0.750 0.000 0.067
17 Ag 0.750 0.000 0.157
18 Ag 0.750 0.000 0.246
19 Ag 0.750 0.000 0.336
20 Ag 0.750 0.000 0.708
21 Ag 0.750 0.000 0.798
22 Ag 0.750 0.000 0.888
23 Ag 0.750 0.000 0.978
24 Ag 0.750 0.500 0.022
25 Ag 0.750 0.500 0.112
26 Ag 0.750 0.500 0.202
27 Ag 0.750 0.500 0.292
28 Ag 0.750 0.500 0.753
29 Ag 0.750 0.500 0.843
30 Ag 0.750 0.500 0.933
31 Ge 0.250 0.500 0.335
32 Ge 0.750 0.500 0.665

Values from the calculation:
As for the total energy: -2.873 eV per atom.